# Li6TmCu6

An optimized crystal structure of Li6TmCu6 (PBE-GGA, the Alexandria database).

Lattice parameters (Å, degrees): 6.676 6.676 6.676 136.53 98.80 96.97
Positions (direct):
Li 0.142 0.142 0.000
Li 0.156 0.500 0.656
Li 0.290 0.790 0.500
Li 0.710 0.210 0.500
Li 0.844 0.500 0.344
Li 0.858 0.858 0.000
Tm 0.500 0.500 0.000
Cu 0.000 0.000 0.500
Cu 0.000 0.500 0.000
Cu 0.290 0.000 0.290
Cu 0.500 0.000 0.000
Cu 0.500 0.500 0.500
Cu 0.710 0.000 0.710

Values from the calculation:
The value obtained for the formation energy is -0.07 eV per atom. Its volume is 14.626 Å³/atom. Its space-group type is Immm. The calculation puts the theoretical density at 5.169 g cm⁻³. The value obtained for the calculated total energy is -3.1853 eV per atom.

---

# LiTm4Cu3

An optimized crystal structure of LiTm4Cu3 (PBE-GGA, the Alexandria database).

Lattice parameters (Å, degrees): 3.471 4.880 9.754 90.00 90.00 90.00
Positions (direct):
Li 0.000 0.000 0.000
Tm 0.500 0.000 0.260
Tm 0.500 0.000 0.740
Tm 0.500 0.500 0.000
Tm 0.500 0.500 0.500
Cu 0.000 0.000 0.500
Cu 0.000 0.500 0.242
Cu 0.000 0.500 0.758

Values from the calculation:
The value obtained for the formation energy is -0.19 eV per atom. Its volume is 20.652 Å³/atom. Its space-group type is Pmmm. The calculation puts the theoretical density at 8.778 g cm⁻³. The value obtained for the calculated total energy is -4.1980 eV per atom.

---

# LiTm2Cu16

An optimized crystal structure of LiTm2Cu16 (PBE-GGA, the Alexandria database).

Lattice parameters (Å, degrees): 6.452 6.452 6.452 82.43 82.43 82.43
Positions (direct):
Li 0.000 0.000 0.000
Tm 0.256 0.256 0.256
Tm 0.569 0.569 0.569
Cu 0.062 0.561 0.561
Cu 0.207 0.603 0.905
Cu 0.207 0.905 0.603
Cu 0.253 0.253 0.747
Cu 0.253 0.747 0.253
Cu 0.407 0.905 0.905
Cu 0.561 0.062 0.561
Cu 0.561 0.561 0.062
Cu 0.603 0.207 0.905
Cu 0.603 0.905 0.207
Cu 0.747 0.253 0.253
Cu 0.807 0.807 0.807
Cu 0.905 0.207 0.603
Cu 0.905 0.407 0.905
Cu 0.905 0.603 0.207
Cu 0.905 0.905 0.407

Values from the calculation:
The value obtained for the formation energy is -0.14 eV per atom. Its volume is 13.795 Å³/atom. Its space-group type is R3m. The calculation puts the theoretical density at 8.626 g cm⁻³. The value obtained for the calculated total energy is -4.1572 eV per atom.

---

# LiTmCu2

An optimized crystal structure of LiTmCu2 (PBE-GGA, the Alexandria database).

Lattice parameters (Å, degrees): 4.577 4.577 3.337 90.00 90.00 90.00
Positions (direct):
Li 0.000 0.000 0.000
Tm 0.500 0.500 0.000
Cu 0.000 0.500 0.500
Cu 0.500 0.000 0.500

Values from the calculation:
The value obtained for the formation energy is -0.05 eV per atom. The value obtained for the excess energy over the best structure of this formula in the dataset is 79 meV/atom. Its volume is 17.476 Å³/atom. Its space-group type is P4/mmm. The calculation puts the theoretical density at 7.197 g cm⁻³. The value obtained for the calculated total energy is -3.6930 eV per atom.

---

# LiYTmCu

An optimized crystal structure of LiYTmCu (PBE-GGA, the Alexandria database).

Lattice parameters (Å, degrees): 7.064 7.064 7.064 90.00 90.00 90.00
Positions (direct):
Li 0.000 0.000 0.000
Li 0.000 0.500 0.500
Li 0.500 0.000 0.500
Li 0.500 0.500 0.000
Y 0.250 0.250 0.250
Y 0.250 0.750 0.750
Y 0.750 0.250 0.750
Y 0.750 0.750 0.250
Tm 0.250 0.250 0.750
Tm 0.250 0.750 0.250
Tm 0.750 0.250 0.250
Tm 0.750 0.750 0.750
Cu 0.000 0.000 0.500
Cu 0.000 0.500 0.000
Cu 0.500 0.000 0.000
Cu 0.500 0.500 0.500

Values from the calculation:
The value obtained for the formation energy is -0.05 eV per atom. Its volume is 22.032 Å³/atom. Its space-group type is F-43m. The calculation puts the theoretical density at 6.186 g cm⁻³. The value obtained for the calculated total energy is -4.2868 eV per atom.

---

# Li3Tm2ZnCu12

An optimized crystal structure of Li3Tm2ZnCu12 (PBE-GGA, the Alexandria database).

Lattice parameters (Å, degrees): 6.479 6.479 6.479 83.27 83.27 83.27
Positions (direct):
Li 0.000 0.500 0.500
Li 0.500 0.000 0.500
Li 0.500 0.500 0.000
Tm 0.209 0.209 0.209
Tm 0.791 0.791 0.791
Zn 0.500 0.500 0.500
Cu 0.078 0.078 0.642
Cu 0.078 0.642 0.078
Cu 0.226 0.701 0.701
Cu 0.299 0.299 0.774
Cu 0.299 0.774 0.299
Cu 0.358 0.922 0.922
Cu 0.642 0.078 0.078
Cu 0.701 0.226 0.701
Cu 0.701 0.701 0.226
Cu 0.774 0.299 0.299
Cu 0.922 0.358 0.922
Cu 0.922 0.922 0.358

Values from the calculation:
The value obtained for the formation energy is 0.00 eV per atom. Its volume is 14.822 Å³/atom. Its space-group type is R-3m. The calculation puts the theoretical density at 7.386 g cm⁻³. The value obtained for the calculated total energy is -3.6137 eV per atom.

---

# LiTm2Zn3Cu12

An optimized crystal structure of LiTm2Zn3Cu12 (PBE-GGA, the Alexandria database).

Lattice parameters (Å, degrees): 9.296 9.296 9.296 39.10 39.10 39.10
Positions (direct):
Li 0.000 0.000 0.000
Tm 0.351 0.351 0.351
Tm 0.649 0.649 0.649
Zn 0.000 0.000 0.500
Zn 0.000 0.500 0.000
Zn 0.500 0.000 0.000
Cu 0.081 0.081 0.637
Cu 0.081 0.637 0.081
Cu 0.193 0.578 0.578
Cu 0.363 0.919 0.919
Cu 0.422 0.422 0.807
Cu 0.422 0.807 0.422
Cu 0.578 0.193 0.578
Cu 0.578 0.578 0.193
Cu 0.637 0.081 0.081
Cu 0.807 0.422 0.422
Cu 0.919 0.363 0.919
Cu 0.919 0.919 0.363

Values from the calculation:
The value obtained for the formation energy is 0.15 eV per atom. Its volume is 15.967 Å³/atom. Its space-group type is R-3m. The calculation puts the theoretical density at 7.532 g cm⁻³. The value obtained for the calculated total energy is -3.3987 eV per atom.

---

# LiTmZnCu

An optimized crystal structure of LiTmZnCu (PBE-GGA, the Alexandria database).

Lattice parameters (Å, degrees): 6.460 6.460 6.460 90.00 90.00 90.00
Positions (direct):
Li 0.000 0.000 0.000
Li 0.000 0.500 0.500
Li 0.500 0.000 0.500
Li 0.500 0.500 0.000
Tm 0.250 0.250 0.750
Tm 0.250 0.750 0.250
Tm 0.750 0.250 0.250
Tm 0.750 0.750 0.750
Zn 0.250 0.250 0.250
Zn 0.250 0.750 0.750
Zn 0.750 0.250 0.750
Zn 0.750 0.750 0.250
Cu 0.000 0.000 0.500
Cu 0.000 0.500 0.000
Cu 0.500 0.000 0.000
Cu 0.500 0.500 0.500

Values from the calculation:
The value obtained for the formation energy is -0.15 eV per atom. Its volume is 16.848 Å³/atom. Its space-group type is F-43m. The calculation puts the theoretical density at 7.511 g cm⁻³. The value obtained for the calculated total energy is -3.0912 eV per atom.

---

# LiUCu

An optimized crystal structure of LiUCu (PBE-GGA, the Alexandria database).

Lattice parameters (Å, degrees): 4.843 2.797 15.048 90.00 95.59 90.00
Positions (direct):
Li 0.000 0.000 0.000
Li 0.079 0.500 0.724
Li 0.500 0.500 0.000
Li 0.579 0.000 0.724
U 0.179 0.000 0.533
U 0.409 0.000 0.191
U 0.679 0.500 0.533
U 0.909 0.500 0.191
Cu 0.289 0.000 0.862
Cu 0.294 0.500 0.362
Cu 0.789 0.500 0.862
Cu 0.794 0.000 0.362

Values from the calculation:
The value obtained for the formation energy is 0.22 eV per atom. Its volume is 16.906 Å³/atom. Its space-group type is Cm. The calculation puts the theoretical density at 10.101 g cm⁻³. The value obtained for the calculated total energy is -5.5438 eV per atom.

---

# LiV2Cu2

An optimized crystal structure of LiV2Cu2 (PBE-GGA, the Alexandria database).

Lattice parameters (Å, degrees): 7.416 7.416 2.517 90.00 90.00 90.00
Positions (direct):
Li 0.000 0.000 0.000
Li 0.500 0.500 0.000
V 0.170 0.330 0.500
V 0.330 0.830 0.500
V 0.670 0.170 0.500
V 0.830 0.670 0.500
Cu 0.124 0.624 0.000
Cu 0.376 0.124 0.000
Cu 0.624 0.876 0.000
Cu 0.876 0.376 0.000

Values from the calculation:
The value obtained for the formation energy is 0.33 eV per atom. The value obtained for the excess energy over the best structure of this formula in the dataset is 70 meV/atom. Its volume is 13.845 Å³/atom. Its space-group type is P4/mbm. The calculation puts the theoretical density at 5.659 g cm⁻³. The value obtained for the calculated total energy is -5.3372 eV per atom.